Computed, not measured: Ho5Zn4Cu after structural relaxation at the PBE-GGA level of DFT.

CIF file:
```
data_Ho5Zn4Cu
_chemical_formula_sum 'Ho5 Zn4 Cu1'
_symmetry_space_group_name_H-M 'P 4/m m m'
_symmetry_Int_Tables_number 123
_symmetry_space_group_name_Hall '-P 4 2'
_cell_length_a 3.530
_cell_length_b 3.530
_cell_length_c 17.683
_cell_angle_alpha 90.00
_cell_angle_beta 90.00
_cell_angle_gamma 90.00
loop_
_atom_site_label
_atom_site_fract_x
_atom_site_fract_y
_atom_site_fract_z
_atom_site_occupancy
Ho1 0.000 0.000 0.000 1
Ho2 0.000 0.000 0.202 1
Ho3 0.000 0.000 0.404 1
Zn1 0.500 0.500 0.101 1
Zn2 0.500 0.500 0.301 1
Cu1 0.500 0.500 0.500 1
```

Energy (eV for the cell shown): -35.35
Energy of formation (eV per atom): -0.327
Density of states at the Fermi level (states/eV per atom): 0.97


Computed, not measured: Ho3Zn3Cu2 after structural relaxation at the PBE-GGA level of DFT.

CIF file:
```
data_Ho3Zn3Cu2
_chemical_formula_sum 'Ho3 Zn3 Cu2'
_symmetry_space_group_name_H-M 'P -6 2 m'
_symmetry_Int_Tables_number 189
_symmetry_space_group_name_Hall 'P -6 -2'
_cell_length_a 7.0294
_cell_length_b 7.0294
_cell_length_c 3.7901
_cell_angle_alpha 90.00
_cell_angle_beta 90.00
_cell_angle_gamma 120.00
loop_
_atom_site_label
_atom_site_fract_x
_atom_site_fract_y
_atom_site_fract_z
_atom_site_occupancy
Ho1 0.0000 0.4023 0.0000 1
Zn1 0.0000 0.7685 0.5000 1
Cu1 0.3333 0.6667 0.5000 1
```

Energy (eV for the cell shown): -27.93
Energy of formation (eV per atom): -0.273
Density of states at the Fermi level (states/eV per atom): 0.90


Computed, not measured: HoZn10Cu2 after structural relaxation at the PBE-GGA level of DFT.

CIF file:
```
data_HoZn10Cu2
_chemical_formula_sum 'Ho4 Zn40 Cu8'
_symmetry_space_group_name_H-M 'F m m m'
_symmetry_Int_Tables_number 69
_symmetry_space_group_name_Hall '-F 2 2'
_cell_length_a 4.989
_cell_length_b 12.564
_cell_length_c 12.659
_cell_angle_alpha 90.00
_cell_angle_beta 90.00
_cell_angle_gamma 90.00
loop_
_atom_site_label
_atom_site_fract_x
_atom_site_fract_y
_atom_site_fract_z
_atom_site_occupancy
Ho1 0.000 0.000 0.000 1
Zn1 0.000 0.110 0.395 1
Zn2 0.000 0.179 0.171 1
Zn3 0.250 0.000 0.250 1
Cu1 0.250 0.250 0.000 1
```

Energy (eV for the cell shown): -111.53
Energy of formation (eV per atom): -0.183
Density of states at the Fermi level (states/eV per atom): 0.38


Computed, not measured: HoZn9Cu2 after structural relaxation at the PBE-GGA level of DFT.

CIF file:
```
data_HoZn9Cu2
_chemical_formula_sum 'Ho4 Zn36 Cu8'
_symmetry_space_group_name_H-M 'I 41/a m d'
_symmetry_Int_Tables_number 141
_cell_length_a 10.479
_cell_length_b 10.479
_cell_length_c 6.687
_cell_angle_alpha 90.00
_cell_angle_beta 90.00
_cell_angle_gamma 90.00
loop_
_symmetry_equiv_pos_as_xyz
'x,y,z'
'-x,-y,-z'
'-y+1/4,x+3/4,z+1/4'
'y+1/4,-x+3/4,-z+1/4'
'-x+1/2,-y,z+1/2'
'x+1/2,y,-z+1/2'
'y+1/4,-x+1/4,z+3/4'
'-y+1/4,x+1/4,-z+3/4'
'x,-y,-z'
'-x,y,z'
'-y+1/4,-x+1/4,-z+3/4'
'y+1/4,x+1/4,z+3/4'
'-x+1/2,y,-z+1/2'
'x+1/2,-y,z+1/2'
'y+1/4,x+3/4,-z+1/4'
'-y+1/4,-x+3/4,z+1/4'
'x+1/2,y+1/2,z+1/2'
'-x+1/2,-y+1/2,-z+1/2'
'-y+3/4,x+1/4,z+3/4'
'y+3/4,-x+1/4,-z+3/4'
'-x,-y+1/2,z'
'x,y+1/2,-z'
'y+3/4,-x+3/4,z+1/4'
'-y+3/4,x+3/4,-z+1/4'
'x+1/2,-y+1/2,-z+1/2'
'-x+1/2,y+1/2,z+1/2'
'-y+3/4,-x+3/4,-z+1/4'
'y+3/4,x+3/4,z+1/4'
'-x,y+1/2,-z'
'x,-y+1/2,z'
'y+3/4,x+1/4,-z+3/4'
'-y+3/4,-x+1/4,z+3/4'
loop_
_atom_site_label
_atom_site_fract_x
_atom_site_fract_y
_atom_site_fract_z
_atom_site_occupancy
Ho1 0.000 0.250 0.375 1
Zn1 0.000 0.250 0.875 1
Zn2 0.121 0.046 0.680 1
Cu1 0.000 0.000 0.000 1
```

Energy (eV for the cell shown): -107.54
Energy of formation (eV per atom): -0.221
Density of states at the Fermi level (states/eV per atom): 0.20


Computed, not measured: Ho4ZnCu after structural relaxation at the PBE-GGA level of DFT.

CIF file:
```
data_Ho4ZnCu
_chemical_formula_sum 'Ho4 Zn1 Cu1'
_symmetry_space_group_name_H-M 'P 4/m m m'
_symmetry_Int_Tables_number 123
_symmetry_space_group_name_Hall '-P 4 2'
_cell_length_a 3.494
_cell_length_b 3.494
_cell_length_c 12.262
_cell_angle_alpha 90.00
_cell_angle_beta 90.00
_cell_angle_gamma 90.00
loop_
_atom_site_label
_atom_site_fract_x
_atom_site_fract_y
_atom_site_fract_z
_atom_site_occupancy
Ho1 0.000 0.000 0.139 1
Ho2 0.500 0.500 0.355 1
Zn1 0.000 0.000 0.500 1
Cu1 0.500 0.500 0.000 1
```

Energy (eV for the cell shown): -24.71
Energy of formation (eV per atom): -0.171
Density of states at the Fermi level (states/eV per atom): 1.42


Computed, not measured: Ho4Zn5Cu2 after structural relaxation at the PBE-GGA level of DFT.

CIF file:
```
data_Ho4Zn5Cu2
_chemical_formula_sum 'Ho4 Zn5 Cu2'
_symmetry_space_group_name_H-M 'P 1 2/m 1'
_symmetry_Int_Tables_number 10
_cell_length_a 6.954
_cell_length_b 3.612
_cell_length_c 8.994
_cell_angle_alpha 90.00
_cell_angle_beta 93.56
_cell_angle_gamma 90.00
loop_
_symmetry_equiv_pos_as_xyz
'x,y,z'
'-x,-y,-z'
'-x,y,-z'
'x,-y,z'
loop_
_atom_site_label
_atom_site_fract_x
_atom_site_fract_y
_atom_site_fract_z
_atom_site_occupancy
Ho1 0.175 0.000 0.372 1
Ho2 0.254 0.000 0.939 1
Zn1 0.196 0.500 0.658 1
Zn2 0.440 0.500 0.201 1
Zn3 0.500 0.500 0.500 1
Cu1 0.062 0.500 0.135 1
```

Energy (eV for the cell shown): -35.85
Energy of formation (eV per atom): -0.270
Density of states at the Fermi level (states/eV per atom): 0.73


Computed, not measured: Ho2Zn4Cu5 after structural relaxation at the PBE-GGA level of DFT.

CIF file:
```
data_Ho2Zn4Cu5
_chemical_formula_sum 'Ho8 Zn16 Cu20'
_symmetry_space_group_name_H-M 'F m m m'
_symmetry_Int_Tables_number 69
_symmetry_space_group_name_Hall '-F 2 2'
_cell_length_a 5.304
_cell_length_b 8.739
_cell_length_c 15.790
_cell_angle_alpha 90.00
_cell_angle_beta 90.00
_cell_angle_gamma 90.00
loop_
_atom_site_label
_atom_site_fract_x
_atom_site_fract_y
_atom_site_fract_z
_atom_site_occupancy
Ho1 0.000 0.000 0.133 1
Zn1 0.000 0.157 0.371 1
Cu1 0.000 0.000 0.500 1
Cu2 0.250 0.250 0.000 1
Cu3 0.250 0.250 0.250 1
```

Energy (eV for the cell shown): -147.98
Energy of formation (eV per atom): -0.206
Density of states at the Fermi level (states/eV per atom): 0.29


Computed, not measured: HoZnCu after structural relaxation at the PBE-GGA level of DFT.

CIF file:
```
data_HoZnCu
_chemical_formula_sum 'Ho2 Zn2 Cu2'
_symmetry_space_group_name_H-M 'I 4 m m'
_symmetry_Int_Tables_number 107
_symmetry_space_group_name_Hall 'I 4 -2'
_cell_length_a 3.393
_cell_length_b 3.393
_cell_length_c 9.709
_cell_angle_alpha 90.00
_cell_angle_beta 90.00
_cell_angle_gamma 90.00
loop_
_atom_site_label
_atom_site_fract_x
_atom_site_fract_y
_atom_site_fract_z
_atom_site_occupancy
Ho1 0.000 0.000 0.000 1
Zn1 0.000 0.000 0.693 1
Cu1 0.000 0.000 0.313 1
```

Energy (eV for the cell shown): -21.05
Energy of formation (eV per atom): -0.192
Density of states at the Fermi level (states/eV per atom): 0.52


Computed, not measured: HoZn12Cu6 after structural relaxation at the PBE-GGA level of DFT.

CIF file:
```
data_HoZn12Cu6
_chemical_formula_sum 'Ho3 Zn36 Cu18'
_symmetry_space_group_name_H-M 'R -3 m'
_symmetry_Int_Tables_number 166
_symmetry_space_group_name_Hall '-R 3 2"'
_cell_length_a 11.0116
_cell_length_b 11.0116
_cell_length_c 8.4138
_cell_angle_alpha 90.00
_cell_angle_beta 90.00
_cell_angle_gamma 120.00
loop_
_atom_site_label
_atom_site_fract_x
_atom_site_fract_y
_atom_site_fract_z
_atom_site_occupancy
Ho1 0.0000 0.0000 0.0000 1
Zn1 0.0000 0.3868 0.5000 1
Zn2 0.0846 0.1692 0.3072 1
Cu1 0.0536 0.5268 0.2415 1
```

Energy (eV for the cell shown): -135.71
Energy of formation (eV per atom): -0.042
Density of states at the Fermi level (states/eV per atom): 0.21


Computed, not measured: HoZn6Cu after structural relaxation at the PBE-GGA level of DFT.

CIF file:
```
data_HoZn6Cu
_chemical_formula_sum 'Ho1 Zn6 Cu1'
_symmetry_space_group_name_H-M 'P 4/m m m'
_symmetry_Int_Tables_number 123
_symmetry_space_group_name_Hall '-P 4 2'
_cell_length_a 4.071
_cell_length_b 4.071
_cell_length_c 8.361
_cell_angle_alpha 90.00
_cell_angle_beta 90.00
_cell_angle_gamma 90.00
loop_
_atom_site_label
_atom_site_fract_x
_atom_site_fract_y
_atom_site_fract_z
_atom_site_occupancy
Ho1 0.000 0.000 0.000 1
Zn1 0.000 0.500 0.329 1
Zn2 0.500 0.500 0.144 1
Cu1 0.000 0.000 0.500 1
```

Energy (eV for the cell shown): -17.54
Energy of formation (eV per atom): -0.153
Density of states at the Fermi level (states/eV per atom): 0.28


> Look up the density of states at the Fermi level of the fifth one.

1.42 states/eV per atom


Repeat the ninth record exactly.
Computed, not measured: HoZn12Cu6 after structural relaxation at the PBE-GGA level of DFT.

CIF file:
```
data_HoZn12Cu6
_chemical_formula_sum 'Ho3 Zn36 Cu18'
_symmetry_space_group_name_H-M 'R -3 m'
_symmetry_Int_Tables_number 166
_symmetry_space_group_name_Hall '-R 3 2"'
_cell_length_a 11.0116
_cell_length_b 11.0116
_cell_length_c 8.4138
_cell_angle_alpha 90.00
_cell_angle_beta 90.00
_cell_angle_gamma 120.00
loop_
_atom_site_label
_atom_site_fract_x
_atom_site_fract_y
_atom_site_fract_z
_atom_site_occupancy
Ho1 0.0000 0.0000 0.0000 1
Zn1 0.0000 0.3868 0.5000 1
Zn2 0.0846 0.1692 0.3072 1
Cu1 0.0536 0.5268 0.2415 1
```

Energy (eV for the cell shown): -135.71
Energy of formation (eV per atom): -0.042
Density of states at the Fermi level (states/eV per atom): 0.21